# 1
Here is an optimized crystal structure of CdTc2Ir2 from Alexandria. Energies are from PBE-GGA.

POSCAR file:
```
CdTc2Ir2
1.0
7.706 0.000 0.000
0.000 7.706 0.000
0.000 0.000 2.751
Ir Tc Cd
4 4 2
direct
0.168 0.668 0.500 Ir
0.668 0.832 0.500 Ir
0.832 0.332 0.500 Ir
0.332 0.168 0.500 Ir
0.379 0.879 0.000 Tc
0.879 0.621 0.000 Tc
0.621 0.121 0.000 Tc
0.121 0.379 0.000 Tc
0.000 0.000 0.000 Cd
0.500 0.500 0.000 Cd
```

Energy   -77.52 eV/cell
SG   No. 127
Total magnetic moment   0.00 μB per cell
Energy above the lowest structure with this stoichiometry   0.011 eV/atom
Energy of formation from the pure elements   122 meV/atom

# 2
Here is an optimized crystal structure of Cd2TcIr from Alexandria. Energies are from PBE-GGA.

POSCAR file:
```
Cd2TcIr
1.0
-2.050 -1.847 -3.984
3.773 -1.799 -2.452
-1.209 -0.818 4.621
Cd Ir Tc
2 1 1
direct
0.000 0.000 0.000 Cd
0.250 0.750 0.500 Cd
0.500 0.500 0.000 Ir
0.750 0.250 0.500 Tc
```

Energy   -19.44 eV/cell
SG   No. 119
Total magnetic moment   1.83 μB per cell
Energy above the lowest structure with this stoichiometry   0.371 eV/atom
Energy of formation from the pure elements   404 meV/atom